Record 1
A geometry-optimized ZnPb structure. Source: the Open Quantum Materials Database, functional PBE.

Computed properties:
Crystal system = monoclinic
Electronic total energy = -2.40 eV/atom
Symmetry = Pm (6)
V = 239.6 Å³/cell

Lattice parameters (Å, degrees): 5.244 10.723 4.396 90.00 90.00 75.77
Atoms (fractional coordinates):
1 Pb 0.927 0.389 0.000
2 Pb 0.314 0.600 0.000
3 Pb 0.714 0.812 0.000
4 Pb 0.455 0.343 0.500
5 Pb 0.196 0.857 0.500
6 Zn 0.862 0.087 0.000
7 Zn 0.349 0.114 0.000
8 Zn 0.622 0.040 0.500
9 Zn 0.063 0.159 0.500
10 Zn 0.831 0.600 0.500

Record 2
A geometry-optimized ZnPb structure. Source: the Open Quantum Materials Database, functional PBE.

Computed properties:
Crystal system = monoclinic
Electronic total energy = -2.35 eV/atom
Symmetry = P2_1/m (11)
V = 291.9 Å³/cell

Lattice parameters (Å, degrees): 8.100 7.347 5.079 90.00 90.00 105.03
Atoms (fractional coordinates):
1 Pb 0.752 0.220 0.000
2 Pb 0.306 0.295 0.000
3 Pb 0.313 0.816 0.000
4 Pb 0.584 0.427 0.500
5 Pb 0.137 0.502 0.500
6 Pb 0.576 0.906 0.500
7 Zn 0.950 0.600 0.000
8 Zn 0.659 0.690 0.000
9 Zn 0.979 0.965 0.000
10 Zn 0.230 0.033 0.500
11 Zn 0.939 0.122 0.500
12 Zn 0.910 0.757 0.500

Record 3
A geometry-optimized ZnPb structure. Source: the Open Quantum Materials Database, functional PBE.

Computed properties:
Crystal system = monoclinic
Electronic total energy = -2.36 eV/atom
Symmetry = P2_1/m (11)
V = 290.0 Å³/cell

Lattice parameters (Å, degrees): 9.690 6.333 4.763 90.00 90.00 97.12
Atoms (fractional coordinates):
1 Pb 0.780 0.205 0.000
2 Pb 0.323 0.303 0.000
3 Pb 0.652 0.703 0.000
4 Pb 0.571 0.352 0.500
5 Pb 0.899 0.752 0.500
6 Pb 0.442 0.850 0.500
7 Zn 0.040 0.003 0.000
8 Zn 0.035 0.513 0.000
9 Zn 0.254 0.791 0.000
10 Zn 0.183 0.053 0.500
11 Zn 0.968 0.264 0.500
12 Zn 0.187 0.543 0.500

Record 4
A geometry-optimized ZnPb structure. Source: the Open Quantum Materials Database, functional PBE.

Computed properties:
Crystal system = orthorhombic
Electronic total energy = -2.34 eV/atom
Symmetry = Pnma (62)
V = 188.0 Å³/cell

Lattice parameters (Å, degrees): 6.707 6.088 4.604 90.00 90.00 90.00
Atoms (fractional coordinates):
1 Pb 0.071 0.501 0.000
2 Pb 0.571 0.749 0.000
3 Pb 0.263 0.001 0.500
4 Pb 0.763 0.249 0.500
5 Zn 0.472 0.255 0.000
6 Zn 0.972 0.995 0.000
7 Zn 0.361 0.495 0.500
8 Zn 0.861 0.755 0.500

Record 5
A geometry-optimized ZnPb structure. Source: the Open Quantum Materials Database, functional PBE.

Computed properties:
Crystal system = orthorhombic
Electronic total energy = -2.35 eV/atom
Symmetry = Pmmn (59)
V = 389.0 Å³/cell

Lattice parameters (Å, degrees): 5.925 15.303 4.290 90.00 90.00 90.00
Atoms (fractional coordinates):
1 Pb 0.949 0.530 0.000
2 Pb 0.456 0.640 0.000
3 Pb 0.456 0.860 0.000
4 Pb 0.949 0.970 0.000
5 Pb 0.384 0.030 0.500
6 Pb 0.878 0.140 0.500
7 Pb 0.878 0.360 0.500
8 Pb 0.384 0.470 0.500
9 Zn 0.502 0.159 0.000
10 Zn 0.100 0.250 0.000
11 Zn 0.502 0.341 0.000
12 Zn 0.960 0.750 0.000
13 Zn 0.374 0.250 0.500
14 Zn 0.832 0.659 0.500
15 Zn 0.234 0.750 0.500
16 Zn 0.832 0.841 0.500

Record 6
A geometry-optimized ZnPb structure. Source: the Open Quantum Materials Database, functional PBE.

Computed properties:
Crystal system = orthorhombic
Electronic total energy = -2.36 eV/atom
Symmetry = Pbcm (57)
V = 585.0 Å³/cell

Lattice parameters (Å, degrees): 18.231 6.713 4.779 90.00 90.00 90.00
Atoms (fractional coordinates):
1 Pb 0.535 0.335 0.000
2 Pb 0.035 0.416 0.000
3 Pb 0.419 0.783 0.000
4 Pb 0.154 0.825 0.000
5 Pb 0.654 0.925 0.000
6 Pb 0.919 0.967 0.000
7 Pb 0.910 0.334 0.500
8 Pb 0.410 0.415 0.500
9 Pb 0.025 0.783 0.500
10 Pb 0.291 0.825 0.500
11 Pb 0.791 0.925 0.500
12 Pb 0.525 0.967 0.500
13 Zn 0.331 0.150 0.000
14 Zn 0.784 0.223 0.000
15 Zn 0.184 0.254 0.000
16 Zn 0.684 0.496 0.000
17 Zn 0.284 0.527 0.000
18 Zn 0.831 0.600 0.000
19 Zn 0.113 0.150 0.500
20 Zn 0.660 0.223 0.500
21 Zn 0.261 0.254 0.500
22 Zn 0.761 0.496 0.500
23 Zn 0.160 0.527 0.500
24 Zn 0.614 0.600 0.500

Record 7
A geometry-optimized ZrZn2Pb structure. Source: the Open Quantum Materials Database, functional PBE.

Computed properties:
Crystal system = cubic
Size of the total moment = 0.030 μB per formula unit
Electronic total energy = -3.45 eV/atom
Symmetry = F-43m (216)
V = 82.9 Å³/cell

Lattice parameters (Å, degrees): 4.894 4.894 4.894 60.00 60.00 60.00
Atoms (fractional coordinates):
1 Pb 0.500 0.500 0.500
2 Zn 0.000 0.000 0.000
3 Zn 0.750 0.750 0.750
4 Zr 0.250 0.250 0.250

Record 8
A geometry-optimized Zr2Pb structure. Source: the Open Quantum Materials Database, functional PBE.

Computed properties:
Crystal system = tetragonal
Size of the total moment = 0.004 μB per formula unit
Electronic total energy = -7.13 eV/atom
Symmetry = P4/nmm (129)
V = 142.8 Å³/cell

Lattice parameters (Å, degrees): 4.167 4.167 8.223 90.00 90.00 90.00
Atoms (fractional coordinates):
1 Pb 0.000 0.500 0.277
2 Pb 0.500 0.000 0.723
3 Zr 0.000 0.000 0.000
4 Zr 0.500 0.500 0.000
5 Zr 0.500 0.000 0.359
6 Zr 0.000 0.500 0.641